1.
# Zr4GaSe8

A geometry-optimized Zr4GaSe8 structure (PBE-GGA, the Alexandria database).

The structure in POSCAR format:
```
Zr4GaSe8
1.0
-4.9539 -3.4219 4.5553
0.3085 -7.4806 0.9727
2.9857 -2.7164 7.4630
Se Zr Ga
8 4 1
Direct
0.2597 0.2597 0.2208 Se
0.7429 0.2411 0.7750 Se
0.2571 0.7589 0.2250 Se
0.2411 0.2411 0.7750 Se
0.7589 0.2571 0.2250 Se
0.7403 0.7403 0.7792 Se
0.7589 0.7589 0.2250 Se
0.2411 0.7429 0.7750 Se
0.0000 0.5000 0.0000 Zr
0.0000 0.0000 0.0000 Zr
0.5000 0.0000 0.0000 Zr
0.5000 0.5000 0.0000 Zr
0.5000 0.5000 0.5000 Ga
```

Values from the calculation:
* spin magnetization: 0.0 μB per formula unit
* E_form (uncorrected): -16.08 eV/f.u.

2.
# ZrGa2Se

A geometry-optimized ZrGa2Se structure (PBE-GGA, the Alexandria database).

The structure in POSCAR format:
```
ZrGa2Se
1.0
-3.5343 -6.8097 -0.2724
6.4592 -3.4448 2.3128
0.6776 -4.8256 3.6615
Zr Ga Se
2 4 2
Direct
0.7500 0.2500 0.5000 Zr
0.0000 0.0000 0.0000 Zr
0.1351 0.6250 0.2500 Ga
0.8750 0.8649 0.7500 Ga
0.6149 0.1250 0.2500 Ga
0.3750 0.3851 0.7500 Ga
0.5000 0.5000 0.0000 Se
0.2500 0.7500 0.5000 Se
```

Values from the calculation:
* spin magnetization: 0.0 μB per formula unit
* E_form (uncorrected): -0.75 eV/f.u.

3.
# GaSi

A geometry-optimized GaSi structure (PBE-GGA, the Alexandria database).

The structure in POSCAR format:
```
GaSi
1.0
-2.6231 -1.9178 -1.9215
2.7522 -1.8531 1.8006
-12.2403 -0.9867 17.6939
Si Ga
6 6
Direct
0.6667 0.3333 0.5192 Si
0.3333 0.6667 0.8526 Si
0.6667 0.3333 0.1474 Si
0.3333 0.6667 0.4808 Si
0.0000 0.0000 0.1859 Si
0.0000 0.0000 0.8141 Si
0.6667 0.3333 0.6318 Ga
0.0000 0.0000 0.2984 Ga
0.0000 0.0000 0.7016 Ga
0.3333 0.6667 0.9651 Ga
0.3333 0.6667 0.3682 Ga
0.6667 0.3333 0.0349 Ga
```

Values from the calculation:
* spin magnetization: 0.0 μB per formula unit
* E_form (uncorrected): 0.21 eV/f.u.
* polymorph energy (0 for the lowest one): 1.2 meV/atom

4.
# GaSi

A geometry-optimized GaSi structure (PBE-GGA, the Alexandria database).

The structure in POSCAR format:
```
GaSi
1.0
-0.1301 -1.1464 2.4241
2.4306 -0.9288 -0.3088
1.7800 3.9965 1.9904
Ga Si
1 1
Direct
0.0000 0.0000 0.0000 Ga
0.5000 0.0000 0.5000 Si
```

Values from the calculation:
* spin magnetization: 0.0 μB per formula unit
* E_form (uncorrected): 0.47 eV/f.u.
* polymorph energy (0 for the lowest one): 134.3 meV/atom

5.
# GaSi

A geometry-optimized GaSi structure (PBE-GGA, the Alexandria database).

The structure in POSCAR format:
```
GaSi
1.0
2.6488 0.0244 -0.1441
0.0058 2.6715 0.0095
-1.4333 -1.1392 4.9025
Ga Si
1 1
Direct
0.5972 0.1611 0.8599 Ga
0.3431 0.4282 0.3623 Si
```

Values from the calculation:
* spin magnetization: 0.0 μB per formula unit
* E_form (uncorrected): 0.49 eV/f.u.
* polymorph energy (0 for the lowest one): 141.4 meV/atom

6.
# GaSi

A geometry-optimized GaSi structure (PBE-GGA, the Alexandria database).

The structure in POSCAR format:
```
GaSi
1.0
-1.3615 -0.5194 3.8391
4.4886 -4.9485 0.9224
6.4724 6.4617 3.1697
Ga Si
6 6
Direct
0.5000 0.2157 0.6625 Ga
0.5000 0.2157 0.3375 Ga
0.5000 0.3310 0.0000 Ga
0.0000 0.7843 0.8375 Ga
0.0000 0.7843 0.1625 Ga
0.0000 0.6690 0.5000 Ga
0.0000 0.5107 0.0000 Si
0.0000 0.0000 0.6265 Si
0.5000 0.4893 0.5000 Si
0.0000 0.0000 0.3735 Si
0.5000 0.0000 0.8735 Si
0.5000 0.0000 0.1265 Si
```

Values from the calculation:
* spin magnetization: 0.0 μB per formula unit
* E_form (uncorrected): 0.54 eV/f.u.
* polymorph energy (0 for the lowest one): 167.2 meV/atom

7.
# GaSi

A geometry-optimized GaSi structure (PBE-GGA, the Alexandria database).

The structure in POSCAR format:
```
GaSi
1.0
2.6936 0.0000 0.0000
-1.3468 2.3327 0.0000
0.0000 0.0000 5.3430
Si Ga
1 1
Direct
0.0000 0.0000 0.5000 Si
0.0000 0.0000 0.0000 Ga
```

Values from the calculation:
* spin magnetization: 0.0 μB per formula unit
* E_form (uncorrected): 0.51 eV/f.u.
* polymorph energy (0 for the lowest one): 153.7 meV/atom

8.
# GaSi4

A geometry-optimized GaSi4 structure (PBE-GGA, the Alexandria database).

The structure in POSCAR format:
```
GaSi4
1.0
-1.4398 -4.4258 0.6649
0.9435 -0.9829 -4.4997
4.3749 -1.2446 1.1892
Si Ga
4 1
Direct
0.5000 0.0000 0.5000 Si
0.0000 0.0000 0.0000 Si
0.5000 0.5000 0.0000 Si
0.0000 0.5000 0.5000 Si
0.5000 0.5000 0.5000 Ga
```

Values from the calculation:
* spin magnetization: 0.0 μB per formula unit
* E_form (uncorrected): 5.85 eV/f.u.

9.
# GaSi

A geometry-optimized GaSi structure (PBE-GGA, the Alexandria database).

The structure in POSCAR format:
```
GaSi
1.0
2.9700 0.0000 0.0000
0.0000 4.1860 0.0000
0.0000 0.0000 6.5568
Si Ga
2 2
Direct
0.0000 0.5000 0.5839 Si
0.5000 0.0000 0.0839 Si
0.0000 0.0000 0.7716 Ga
0.5000 0.5000 0.2716 Ga
```

Values from the calculation:
* spin magnetization: 0.0 μB per formula unit
* E_form (uncorrected): 0.33 eV/f.u.
* polymorph energy (0 for the lowest one): 65.4 meV/atom

10.
# GaSi3

A geometry-optimized GaSi3 structure (PBE-GGA, the Alexandria database).

The structure in POSCAR format:
```
GaSi3
1.0
-5.3925 -5.0257 6.1122
-0.1771 -1.9744 -1.7797
2.0620 -1.0480 0.9574
Si Ga
3 1
Direct
0.5000 0.5000 0.5000 Si
0.7383 0.0000 0.5000 Si
0.2617 0.0000 0.5000 Si
0.0000 0.5000 0.5000 Ga
```

Values from the calculation:
* spin magnetization: 0.0 μB per formula unit
* E_form (uncorrected): 1.09 eV/f.u.
* polymorph energy (0 for the lowest one): 89.5 meV/atom

11.
# GaSi

A geometry-optimized GaSi structure (PBE-GGA, the Alexandria database).

The structure in POSCAR format:
```
GaSi
1.0
7.6580 0.0000 0.0000
0.0000 5.7413 0.0000
0.0000 0.0000 7.7268
Si Ga
8 8
Direct
0.6590 0.6537 0.3572 Si
0.1590 0.8463 0.6428 Si
0.3410 0.1537 0.1428 Si
0.3352 0.5362 0.7484 Si
0.8410 0.3463 0.8572 Si
0.1648 0.4638 0.2484 Si
0.6648 0.0362 0.7516 Si
0.8352 0.9638 0.2516 Si
0.5917 0.3865 0.5975 Ga
0.6473 0.2877 0.1667 Ga
0.1473 0.2123 0.8333 Ga
0.8527 0.7123 0.6667 Ga
0.9083 0.6135 0.0975 Ga
0.4083 0.8865 0.9025 Ga
0.0917 0.1135 0.4025 Ga
0.3527 0.7877 0.3333 Ga
```

Values from the calculation:
* spin magnetization: 0.0 μB per formula unit
* E_form (uncorrected): 0.48 eV/f.u.
* polymorph energy (0 for the lowest one): 138.1 meV/atom

12.
# GaSi

A geometry-optimized GaSi structure (PBE-GGA, the Alexandria database).

The structure in POSCAR format:
```
GaSi
1.0
-2.7951 1.8120 -2.3223
-2.2738 -2.2402 2.6837
1.6681 3.9832 2.9672
Ga Si
2 2
Direct
0.2225 0.5796 0.8778 Ga
0.7775 0.4204 0.1222 Ga
0.2924 0.0150 0.6323 Si
0.7076 0.9850 0.3677 Si
```

Values from the calculation:
* spin magnetization: 0.0 μB per formula unit
* E_form (uncorrected): 0.29 eV/f.u.
* polymorph energy (0 for the lowest one): 45.1 meV/atom